# 1
Tb2Tc3Ge5 (PBE-GGA, optimized geometry); formation energy = -480 kJ/mol of formula units; space group = No. 72
1.0
-4.9422 6.4359 2.8755
4.9422 -6.4359 2.8755
4.9422 6.4359 -2.8755
Tb Tc Ge
4 6 10
Direct
0.1383 0.2384 0.3767
0.3617 0.7384 0.1002
0.6383 0.2616 0.8998
0.8617 0.7616 0.6233
0.1507 0.9173 0.0680
0.2500 0.7500 0.5000
0.3493 0.4173 0.7666
0.6507 0.5827 0.2334
0.7500 0.2500 0.5000
0.8493 0.0827 0.9320
0.0455 0.7500 0.2955
0.0883 0.6856 0.7740
0.2500 0.2500 0.0000
0.4117 0.1856 0.5973
0.4545 0.7500 0.7045
0.5455 0.2500 0.2955
0.5883 0.8144 0.4027
0.7500 0.7500 0.0000
0.9117 0.3144 0.2260
0.9545 0.2500 0.7045

=====

# 2
Rb2CaCdBr6 (PBE-GGA, optimized geometry); E_form (uncorrected) = -1.551 eV/atom; space group = No. 225; polymorph energy (0 for the lowest one) = 20 meV per atom
1.0
0.0000 5.6527 5.6527
5.6527 0.0000 5.6527
5.6527 5.6527 0.0000
Rb Ca Cd Br
2 1 1 6
Direct
0.2500 0.2500 0.2500
0.7500 0.7500 0.7500
0.0000 0.0000 0.0000
0.5000 0.5000 0.5000
0.2535 0.2535 0.7465
0.2535 0.7465 0.2535
0.2535 0.7465 0.7465
0.7465 0.2535 0.2535
0.7465 0.2535 0.7465
0.7465 0.7465 0.2535

=====

# 3
MgCr2PtN (PBE-GGA, optimized geometry); E_form (uncorrected) = 1.979 eV/atom; space group = No. 123
1.0
4.6009 0.0000 0.0000
0.0000 4.6009 0.0000
0.0000 0.0000 3.5493
Mg Cr Pt N
1 2 1 1
Direct
0.0000 0.0000 0.0000
0.0000 0.5000 0.0000
0.5000 0.0000 0.0000
0.5000 0.5000 0.5000
0.0000 0.0000 0.5000

=====

# 4
KSb (PBE-GGA, optimized geometry); E_form (uncorrected) = 0.299 eV/atom; space group = No. 225; polymorph energy (0 for the lowest one) = 739 meV per atom
1.0
0.0000 3.6234 3.6234
3.6234 0.0000 3.6234
3.6234 3.6234 0.0000
K Sb
1 1
Direct
0.0000 0.0000 0.0000
0.5000 0.5000 0.5000

=====

# 5
As3RuN (PBE-GGA, optimized geometry); E_form (uncorrected) = 1.497 eV/atom; space group = No. 221; polymorph energy (0 for the lowest one) = 675 meV per atom
1.0
4.7064 0.0000 0.0000
0.0000 4.7064 0.0000
0.0000 0.0000 4.7064
As Ru N
3 1 1
Direct
0.0000 0.0000 0.5000
0.0000 0.5000 0.0000
0.5000 0.0000 0.0000
0.0000 0.0000 0.0000
0.5000 0.5000 0.5000

=====

# 6
ThPIr (PBE-GGA, optimized geometry); formation energy = -171 kJ/mol of formula units; space group = No. 166
1.0
2.1717 1.2538 8.1543
-2.1717 1.2538 8.1543
0.0000 -2.5077 8.1543
Th P Ir
2 2 2
Direct
0.1140 0.1140 0.1140
0.8860 0.8860 0.8860
0.3744 0.3744 0.3744
0.6256 0.6256 0.6256
0.2756 0.2756 0.2756
0.7244 0.7244 0.7244

=====

# 7
TaNiGe2Pd (PBE-GGA, optimized geometry); formation energy = 464 kJ/mol of formula units; space group = No. 123
1.0
4.9537 0.0000 0.0000
0.0000 4.9537 0.0000
0.0000 0.0000 4.5558
Ta Ni Ge Pd
1 1 2 1
Direct
0.0000 0.0000 0.0000
0.0000 0.0000 0.5000
0.0000 0.5000 0.0000
0.5000 0.0000 0.0000
0.5000 0.5000 0.5000

=====

# 8
CaZnB3 (PBE-GGA, optimized geometry); formation energy = 1292 kJ/mol of formula units; space group = No. 221; polymorph energy (0 for the lowest one) = 1382 meV per atom
1.0
4.7556 0.0000 0.0000
0.0000 4.7556 0.0000
0.0000 0.0000 4.7556
Ca Zn B
1 1 3
Direct
0.0000 0.0000 0.0000
0.5000 0.5000 0.5000
0.0000 0.0000 0.5000
0.0000 0.5000 0.0000
0.5000 0.0000 0.0000

=====

| no. | Fermi-level density of states (states/eV per cell) |
| --- | --- |
| 1 | 13.657 |
| 2 | 0.000 |
| 3 | 11.597 |
| 4 | 1.116 |
| 5 | 4.212 |
| 6 | 3.947 |
| 7 | 4.680 |
| 8 | 4.371 |